[1]
A relaxed structure of Li2SiSnW, computed with PBE.

POSCAR file:
```
Li2SiSnW
1.0
4.3013 0.0000 0.0000
0.0000 4.3013 0.0000
0.0000 0.0000 5.2343
Li Si Sn W
2 1 1 1
direct
0.0000 0.5000 0.0000
0.5000 0.0000 0.0000
0.0000 0.0000 0.0000
0.0000 0.0000 0.5000
0.5000 0.5000 0.5000
```

Computed properties:
For the magnetic moment, the calculation gives 0.06 μB/f.u. As for the energy relative to the elements, uncorrected: 119.99 kJ per mole of atoms. The calculation puts the density of states at the Fermi level at 1.089 states/eV per atom.

---

[2]
A relaxed structure of LaScSe, computed with PBE.

POSCAR file:
```
LaScSe
1.0
0.0000 3.5947 3.5947
3.5947 0.0000 3.5947
3.5947 3.5947 0.0000
La Sc Se
1 1 1
direct
0.0000 0.0000 0.0000
0.2500 0.2500 0.2500
0.7500 0.7500 0.7500
```

Computed properties:
For the magnetic moment, the calculation gives 0.03 μB/f.u. As for the energy relative to the elements, uncorrected: 9.05 kJ per mole of atoms. The calculation puts the density of states at the Fermi level at 2.194 states/eV per atom.

---

[3]
A relaxed structure of In2Ga2CuPt5, computed with PBE.

POSCAR file:
```
In2Ga2CuPt5
1.0
9.8032 0.0000 0.0000
0.0000 9.8032 0.0000
0.0000 0.0000 3.5331
In Ga Cu Pt
4 4 2 10
direct
0.1632 0.3368 0.0000
0.3368 0.8368 0.0000
0.6632 0.1632 0.0000
0.8368 0.6632 0.0000
0.1364 0.6364 0.0000
0.3636 0.1364 0.0000
0.6364 0.8636 0.0000
0.8636 0.3636 0.0000
0.0000 0.0000 0.0000
0.5000 0.5000 0.0000
0.0000 0.5000 0.5000
0.1080 0.8253 0.5000
0.1747 0.1080 0.5000
0.3253 0.6080 0.5000
0.3920 0.3253 0.5000
0.5000 0.0000 0.5000
0.6080 0.6747 0.5000
0.6747 0.3920 0.5000
0.8253 0.8920 0.5000
0.8920 0.1747 0.5000
```

Computed properties:
For the magnetic moment, the calculation gives 0.00 μB/f.u. The energy of formation is -0.3216 eV per atom. The calculation puts the density of states at the Fermi level at 0.416 states/eV per atom.

---

[4]
A relaxed structure of SrCdHg14, computed with PBE.

POSCAR file:
```
SrCdHg14
1.0
-5.8057 6.0379 6.8059
5.8057 -6.0379 6.8059
5.8057 6.0379 -6.8059
Sr Cd Hg
2 2 28
direct
0.3197 0.0697 0.2500
0.6803 0.9303 0.7500
0.0000 0.5000 0.5000
0.5000 0.5000 0.0000
0.9996 0.0558 0.2273
0.0004 0.2277 0.0562
0.9996 0.7723 0.9438
0.0004 0.9442 0.7727
0.0221 0.1475 0.6254
0.0221 0.3968 0.8746
0.1933 0.5559 0.3690
0.1933 0.8243 0.6374
0.2459 0.3455 0.5996
0.2459 0.6462 0.9004
0.3131 0.1757 0.8690
0.3131 0.4441 0.1374
0.3285 0.0558 0.5562
0.3285 0.7723 0.2727
0.4649 0.5849 0.6201
0.4649 0.8448 0.8799
0.5351 0.1552 0.1201
0.5351 0.4151 0.3799
0.6715 0.2277 0.7273
0.6715 0.9442 0.4438
0.6869 0.5559 0.8626
0.6869 0.8243 0.1310
0.7541 0.3538 0.0996
0.7541 0.6545 0.4004
0.8067 0.1757 0.3626
0.8067 0.4441 0.6310
0.9779 0.6032 0.1254
0.9779 0.8525 0.3746
```

Computed properties:
For the magnetic moment, the calculation gives 0.00 μB/f.u. The energy of formation is -0.0507 eV per atom. The calculation puts the density of states at the Fermi level at 0.330 states/eV per atom.

---

[5]
A relaxed structure of YEr2PaCo2, computed with PBE.

POSCAR file:
```
YEr2PaCo2
1.0
-3.4252 6.2757 3.3509
3.4252 -6.2757 3.3509
3.4252 6.2757 -3.3509
Y Er Pa Co
2 4 2 4
direct
0.2500 0.2500 0.0000
0.7500 0.7500 0.0000
0.2033 0.6924 0.8957
0.2967 0.1924 0.4891
0.7033 0.8076 0.5109
0.7967 0.3076 0.1043
0.2500 0.7500 0.5000
0.7500 0.2500 0.5000
0.0916 0.2975 0.3891
0.4084 0.7975 0.2059
0.5916 0.2025 0.7941
0.9084 0.7025 0.6109
```

Computed properties:
For the magnetic moment, the calculation gives 0.00 μB/f.u. The energy of formation is -0.1816 eV per atom. The calculation puts the density of states at the Fermi level at 1.080 states/eV per atom.

---

[6]
A relaxed structure of CdHg3Cl, computed with PBE.

POSCAR file:
```
CdHg3Cl
1.0
5.9667 0.0000 0.0000
0.0000 5.9667 0.0000
0.0000 0.0000 5.9667
Cd Hg Cl
1 3 1
direct
0.0000 0.0000 0.0000
0.0000 0.5000 0.5000
0.5000 0.0000 0.5000
0.5000 0.5000 0.0000
0.5000 0.5000 0.5000
```

Computed properties:
For the magnetic moment, the calculation gives 0.00 μB/f.u. As for the energy relative to the elements, uncorrected: 19.77 kJ per mole of atoms. The calculation puts the density of states at the Fermi level at 1.155 states/eV per atom.

---

[7]
A relaxed structure of K2Na2Hg3, computed with PBE.

POSCAR file:
```
K2Na2Hg3
1.0
6.4616 -2.6852 0.0000
6.4616 2.6852 0.0000
-4.2699 0.0000 7.0235
K Na Hg
2 2 3
direct
0.1601 0.1601 0.2665
0.8399 0.8399 0.7335
0.1374 0.1374 0.7590
0.8626 0.8626 0.2410
0.4175 0.4175 0.0841
0.5000 0.5000 0.5000
0.5825 0.5825 0.9159
```

Computed properties:
For the magnetic moment, the calculation gives 0.00 μB/f.u. The energy of formation is -0.2067 eV per atom. The calculation puts the density of states at the Fermi level at 0.404 states/eV per atom.

---

[8]
A relaxed structure of UNbCo, computed with PBE.

POSCAR file:
```
UNbCo
1.0
3.7633 0.0000 0.0000
0.0000 3.7633 0.0000
0.0000 0.0000 7.2409
U Nb Co
2 2 2
direct
0.2500 0.7500 0.0000
0.7500 0.2500 0.0000
0.2500 0.2500 0.3835
0.7500 0.7500 0.6165
0.2500 0.2500 0.7030
0.7500 0.7500 0.2970
```

Computed properties:
For the magnetic moment, the calculation gives 0.66 μB/f.u. The energy of formation is 0.1738 eV per atom. The calculation puts the density of states at the Fermi level at 1.788 states/eV per atom.